DFT (PBE) results for BaZn2Ga2 after structural relaxation.

Results
ρ (Mg/m³): 6.07
E_tot (eV per cell): -21.4
DFT formation energy (meV/atom): -32.3

Unit cell a=8.436 b=8.436 c=3.134 alpha=90.00 beta=90.00 gamma=90.00
Fractional positions:
Ba 0.000 0.000 0.000
Ba 0.500 0.500 0.000
Zn 0.155 0.345 0.500
Zn 0.345 0.845 0.500
Zn 0.655 0.155 0.500
Zn 0.845 0.655 0.500
Ga 0.127 0.627 0.000
Ga 0.373 0.127 0.000
Ga 0.627 0.873 0.000
Ga 0.873 0.373 0.000